# 1
## CsLi4Tl3F12 (PBE-GGA)

Data for a relaxed structure of CsLi4Tl3F12.

Computed properties:
formation energy without anion corrections = -220.7 kJ/mol of atoms
volume = 1072.09 Å³ per cell

The structure in CIF format:
```
data_CsLi4Tl3F12
_chemical_formula_sum 'Cs3 Li12 Tl9 F36'
_cell_length_a 12.0873
_cell_length_b 12.0873
_cell_length_c 8.4731
_cell_angle_alpha 90.00
_cell_angle_beta 90.00
_cell_angle_gamma 120.00
_space_group_name_H-M_alt 'R 3 2'
_space_group_IT_number 155
_space_group_name_Hall 'R 3 2"'
loop_
_atom_site_label
_atom_site_fract_x
_atom_site_fract_y
_atom_site_fract_z
Cs1 0.0000 0.0000 0.0000
Li1 0.0000 0.0000 0.5000
Li2 0.0000 0.4427 0.5000
Tl1 0.0000 0.5529 0.0000
F1 0.0000 0.5986 0.5000
F2 0.0000 0.8465 0.5000
F3 0.0429 0.2268 0.1841
```

# 2
## Cs2LiTl3F12 (PBE-GGA)

Data for a relaxed structure of Cs2LiTl3F12.

Computed properties:
formation energy without anion corrections = -212.8 kJ/mol of atoms
volume = 1070.47 Å³ per cell

The structure in CIF format:
```
data_Cs2LiTl3F12
_chemical_formula_sum 'Cs6 Li3 Tl9 F36'
_cell_length_a 8.1639
_cell_length_b 8.1639
_cell_length_c 18.5459
_cell_angle_alpha 90.00
_cell_angle_beta 90.00
_cell_angle_gamma 120.00
_space_group_name_H-M_alt 'R -3 m'
_space_group_IT_number 166
_space_group_name_Hall '-R 3 2"'
loop_
_atom_site_label
_atom_site_fract_x
_atom_site_fract_y
_atom_site_fract_z
Cs1 0.0000 0.0000 0.1390
Li1 0.0000 0.0000 0.5000
Tl1 0.0000 0.5000 0.0000
F1 0.0664 0.5332 0.3707
F2 0.0863 0.5432 0.1075
```

# 3
## Cs2LiTmF6 (PBE-GGA)

Data for a relaxed structure of Cs2LiTmF6.

Computed properties:
formation energy without anion corrections = -324.2 kJ/mol of atoms
volume = 701.56 Å³ per cell

The structure in CIF format:
```
data_Cs2LiTmF6
_chemical_formula_sum 'Cs8 Li4 Tm4 F24'
_cell_length_a 8.8856
_cell_length_b 8.8856
_cell_length_c 8.8856
_cell_angle_alpha 90.00
_cell_angle_beta 90.00
_cell_angle_gamma 90.00
_space_group_name_H-M_alt 'F m -3 m'
_space_group_IT_number 225
_space_group_name_Hall '-F 4 2 3'
loop_
_atom_site_label
_atom_site_fract_x
_atom_site_fract_y
_atom_site_fract_z
Cs1 0.2500 0.2500 0.2500
Li1 0.0000 0.0000 0.0000
Tm1 0.0000 0.0000 0.5000
F1 0.0000 0.0000 0.2563
```

# 4
## CsLiTmF6 (PBE-GGA)

Data for a relaxed structure of CsLiTmF6.

Computed properties:
formation energy without anion corrections = -297.0 kJ/mol of atoms
volume = 577.49 Å³ per cell

The structure in CIF format:
```
data_CsLiTmF6
_chemical_formula_sum 'Cs4 Li4 Tm4 F24'
_cell_length_a 7.6174
_cell_length_b 7.6531
_cell_length_c 9.9061
_cell_angle_alpha 90.00
_cell_angle_beta 90.00
_cell_angle_gamma 90.00
_space_group_name_H-M_alt 'I m m a'
_space_group_IT_number 74
_space_group_name_Hall '-I 2b 2'
loop_
_atom_site_label
_atom_site_fract_x
_atom_site_fract_y
_atom_site_fract_z
Cs1 0.0000 0.2500 0.1596
Li1 0.0000 0.0000 0.5000
Tm1 0.2500 0.2500 0.7500
F1 0.0000 0.2500 0.5926
F2 0.0000 0.2500 0.8594
F3 0.2060 0.0044 0.6334
```

# 5
## Cs2LiUF6 (PBE-GGA)

Data for a relaxed structure of Cs2LiUF6.

Computed properties:
formation energy without anion corrections = -289.4 kJ/mol of atoms
volume = 749.24 Å³ per cell

The structure in CIF format:
```
data_Cs2LiUF6
_chemical_formula_sum 'Cs8 Li4 U4 F24'
_cell_length_a 9.0825
_cell_length_b 9.0825
_cell_length_c 9.0825
_cell_angle_alpha 90.00
_cell_angle_beta 90.00
_cell_angle_gamma 90.00
_space_group_name_H-M_alt 'F m -3 m'
_space_group_IT_number 225
_space_group_name_Hall '-F 4 2 3'
loop_
_atom_site_label
_atom_site_fract_x
_atom_site_fract_y
_atom_site_fract_z
Cs1 0.2500 0.2500 0.2500
Li1 0.0000 0.0000 0.0000
U1 0.0000 0.0000 0.5000
F1 0.0000 0.0000 0.2446
```

# 6
## CsLiUF6 (PBE-GGA)

Data for a relaxed structure of CsLiUF6.

Computed properties:
formation energy without anion corrections = -313.8 kJ/mol of atoms
volume = 619.42 Å³ per cell

The structure in CIF format:
```
data_CsLiUF6
_chemical_formula_sum 'Cs4 Li4 U4 F24'
_cell_length_a 7.2790
_cell_length_b 8.1278
_cell_length_c 10.4697
_cell_angle_alpha 90.00
_cell_angle_beta 90.00
_cell_angle_gamma 90.00
_space_group_name_H-M_alt 'I m m a'
_space_group_IT_number 74
_space_group_name_Hall '-I 2b 2'
loop_
_atom_site_label
_atom_site_fract_x
_atom_site_fract_y
_atom_site_fract_z
Cs1 0.0000 0.2500 0.0909
Li1 0.2500 0.2500 0.7500
U1 0.0000 0.0000 0.5000
F1 0.0000 0.2500 0.3887
F2 0.0000 0.2500 0.6446
F3 0.2474 0.0394 0.6197
```